Entry from Alexandria via LeMat-Bulk: a relaxed Ba2FeWO6 crystal (PBE with a Hubbard U).

a = 5.9485 Å, b = 5.9485 Å, c = 10.1906 Å
α = 73.03°, β = 73.03°, γ = 60.00°
Closest atoms and distances in Å follow each position.
Atoms (fractional coordinates):
Ba: 0.8714 0.8714 0.3857  12 O 2.90-3.03
Ba: 0.1286 0.1286 0.6143  12 O 2.90-3.03
Ba: 0.7177 0.7177 0.8468  12 O 2.85-3.18
Ba: 0.2823 0.2823 0.1532  12 O 2.85-3.18
Fe: 0.5945 0.5945 0.2165  6 O 2.07-2.24
Fe: 0.4055 0.4055 0.7835  6 O 2.07-2.24
W: 0.0000 0.0000 0.0000  6 O 1.96
W: 0.5000 0.5000 0.5000  6 O 1.97
O: 0.8503 0.3847 0.3803  1 W 1.97
O: 0.3847 0.8503 0.3803  1 W 1.97
O: 0.3847 0.3847 0.3803  1 W 1.97
O: 0.1497 0.6153 0.6197  1 W 1.97
O: 0.6153 0.1497 0.6197  1 W 1.97
O: 0.6153 0.6153 0.6197  1 W 1.97
O: 0.7282 0.1945 0.8828  1 W 1.96, 1 Fe 2.07
O: 0.1945 0.7282 0.8828  1 W 1.96, 1 Fe 2.07
O: 0.1945 0.1945 0.8828  1 W 1.96, 1 Fe 2.07
O: 0.2718 0.8055 0.1172  1 W 1.96, 1 Fe 2.07
O: 0.8055 0.2718 0.1172  1 W 1.96, 1 Fe 2.07
O: 0.8055 0.8055 0.1172  1 W 1.96, 1 Fe 2.07

Properties
- DOS(E_F) (states/eV/f.u.) = 0.0
- raw total energy (eV/f.u.) = -70.100
- crystal system = trigonal